This record from the Alexandria database describes a crystal of La2MgSc relaxed with PBEsol. The functional is meta-GGA SCAN.

The structure in extended XYZ format:
```
4
Lattice="4.813 0.000 0.000 0.000 4.813 0.000 -2.406 -2.406 4.951" Properties=species:S:1:pos:R:3 pbc="T T T"
Sc 0.000 2.406 2.475
La 2.406 0.000 2.475
La 0.000 0.000 0.000
Mg 2.406 2.406 0.000
```

Properties
As for the formation energy: 0.045 eV per atom. Its crystal system is tetragonal. The calculation puts the volume at 114.7 Å³ per cell. As for the total energy: -26.310 eV/atom. The space group is I-4m2 (119).

This record from the Alexandria database describes a crystal of Na3TaBi relaxed with PBEsol. The functional is meta-GGA SCAN.

The structure in extended XYZ format:
```
5
Lattice="5.738 0.000 0.000 0.000 5.738 0.000 0.000 0.000 5.738" Properties=species:S:1:pos:R:3 pbc="T T T"
Na 0.000 0.000 2.869
Na 0.000 2.869 0.000
Na 2.869 0.000 0.000
Ta 2.869 2.869 2.869
Bi 0.000 0.000 0.000
```

Properties
As for the formation energy: 1.269 eV per atom. Its crystal system is cubic. The calculation puts the volume at 188.9 Å³ per cell. As for the total energy: -30.292 eV/atom. The space group is Pm-3m (221).

This record from the Alexandria database describes a crystal of SbRh2Pb relaxed with PBEsol. The functional is meta-GGA SCAN.

The structure in extended XYZ format:
```
4
Lattice="-2.515 0.314 3.971 2.139 -0.388 4.179 0.445 3.779 2.778" Properties=species:S:1:pos:R:3 pbc="T T T"
Rh 0.000 0.000 0.000
Rh 0.052 2.778 8.196
Sb 0.017 0.926 2.732
Pb 0.035 1.852 5.464
```

Properties
Its crystal system is cubic. The calculation puts the volume at 73.9 Å³ per cell. The calculation puts the formation energy (no corrections) at 0.372 eV per atom. As for the total energy: -44.774 eV/atom. The space group is F-43m (216).

This record from the Alexandria database describes a crystal of InCu2Hg2 relaxed with PBEsol. The functional is meta-GGA SCAN.

The structure in extended XYZ format:
```
5
Lattice="3.382 0.000 0.000 0.000 3.382 0.000 -1.691 -1.691 8.394" Properties=species:S:1:pos:R:3 pbc="T T T"
Hg 1.691 1.691 2.059
Hg 0.000 0.000 6.335
In 0.000 0.000 0.000
Cu 0.000 1.691 4.197
Cu 1.691 0.000 4.197
```

Properties
As for the formation energy: 0.169 eV per atom. Its crystal system is tetragonal. The calculation puts the volume at 96.0 Å³ per cell. As for the total energy: -39.854 eV/atom. The space group is I4/mmm (139).

This record from the Alexandria database describes a crystal of BaNiRu2 relaxed with PBEsol. The functional is meta-GGA SCAN.

The structure in extended XYZ format:
```
4
Lattice="-2.307 1.946 -0.383 -0.467 -1.103 -2.796 -4.859 -5.197 2.862" Properties=species:S:1:pos:R:3 pbc="T T T"
Ba -1.387 0.421 -1.590
Ru -3.226 -3.451 1.900
Ru -1.633 -1.746 0.962
Ni -3.816 -2.177 -0.159
```

Properties
As for the formation energy: 0.797 eV per atom. Its crystal system is tetragonal. The calculation puts the volume at 71.0 Å³ per cell. As for the total energy: -30.547 eV/atom. The space group is P4/mmm (123).

This record from the Alexandria database describes a crystal of LaMn2W relaxed with PBEsol. The functional is meta-GGA SCAN.

The structure in extended XYZ format:
```
4
Lattice="-0.557 -2.725 1.057 0.291 -1.123 -2.740 7.223 -1.016 1.184" Properties=species:S:1:pos:R:3 pbc="T T T"
Mn 1.631 -0.229 0.267
Mn 0.501 -2.013 -0.738
La 5.505 -0.774 0.902
W 2.932 -2.355 -0.339
```

Properties
As for the formation energy: 0.489 eV per atom. Its crystal system is tetragonal. The calculation puts the volume at 65.4 Å³ per cell. As for the total energy: -36.836 eV/atom. The space group is P4mm (99).

This record from the Alexandria database describes a crystal of MgScAu4 relaxed with PBEsol. The functional is meta-GGA SCAN.

The structure in extended XYZ format:
```
6
Lattice="5.418 0.000 0.000 2.709 4.692 0.000 2.709 1.564 4.424" Properties=species:S:1:pos:R:3 pbc="T T T"
Au 5.418 4.691 1.659
Au 6.771 2.347 1.659
Au 4.065 2.347 1.659
Au 5.418 3.128 3.869
Mg 8.127 4.692 3.318
Sc 0.000 0.000 0.000
```

Properties
As for the formation energy: -0.505 eV per atom. Its crystal system is cubic. The calculation puts the volume at 112.5 Å³ per cell. As for the total energy: -49.812 eV/atom. The space group is F-43m (216).

This record from the Alexandria database describes a crystal of Y2AlCu relaxed with PBEsol. The functional is meta-GGA SCAN.

The structure in extended XYZ format:
```
4
Lattice="3.651 0.000 0.000 0.000 4.375 0.000 -1.826 0.000 5.580" Properties=species:S:1:pos:R:3 pbc="T T T"
Cu 1.826 2.188 0.674
Y 0.000 2.188 3.081
Y 1.826 0.000 5.295
Al 1.826 0.000 2.129
```

Properties
As for the formation energy: -0.339 eV per atom. Its crystal system is orthorhombic. The calculation puts the volume at 89.2 Å³ per cell. As for the total energy: -19.998 eV/atom. The space group is Amm2 (38).

This record from the Alexandria database describes a crystal of SiAs2Ru relaxed with PBEsol. The functional is meta-GGA SCAN.

The structure in extended XYZ format:
```
4
Lattice="-0.435 0.105 -2.964 2.590 -1.447 -0.431 -3.292 -5.973 0.272" Properties=species:S:1:pos:R:3 pbc="T T T"
Ru 1.078 -0.671 -1.698
As -0.746 -1.353 0.062
As -2.546 -4.620 0.210
Si -0.568 -3.658 -1.562
```

Properties
Its crystal system is tetragonal. The calculation puts the volume at 61.3 Å³ per cell. The calculation puts the formation energy (no corrections) at 0.214 eV per atom. As for the total energy: -21.092 eV/atom. The space group is P4/mmm (123).

This record from the Alexandria database describes a crystal of YNiNF2 relaxed with PBEsol. The functional is meta-GGA SCAN.

The structure in extended XYZ format:
```
5
Lattice="-0.144 -0.443 4.157 -2.433 -3.374 -0.444 3.715 -2.659 -0.155" Properties=species:S:1:pos:R:3 pbc="T T T"
Y 0.000 0.000 0.000
F -1.216 -1.687 -0.222
F -0.072 -0.222 2.079
Ni 0.569 -3.238 1.779
N 1.858 -1.329 -0.077
```

Properties
Its crystal system is tetragonal. The calculation puts the volume at 80.0 Å³ per cell. The calculation puts the formation energy (no corrections) at -1.418 eV per atom. As for the total energy: -13.495 eV/atom. The space group is P4/mmm (123).

This record from the Alexandria database describes a crystal of Al2SbMo relaxed with PBEsol. The functional is meta-GGA SCAN.

The structure in extended XYZ format:
```
4
Lattice="3.504 0.000 0.000 0.000 4.405 0.000 0.000 0.000 4.416" Properties=species:S:1:pos:R:3 pbc="T T T"
Sb 0.000 2.202 2.208
Al 1.752 0.000 2.208
Al 0.000 0.000 0.000
Mo 1.752 2.202 0.000
```

Properties
Its crystal system is orthorhombic. The calculation puts the volume at 68.2 Å³ per cell. The calculation puts the formation energy (no corrections) at 0.242 eV per atom. As for the total energy: -21.670 eV/atom. The space group is Pmmm (47).

This record from the Alexandria database describes a crystal of In3SiTc relaxed with PBEsol. The functional is meta-GGA SCAN.

The structure in extended XYZ format:
```
5
Lattice="-0.729 -0.861 4.965 1.430 -4.846 -0.630 4.832 1.304 0.935" Properties=species:S:1:pos:R:3 pbc="T T T"
In -0.364 -0.430 2.483
In 2.416 0.652 0.468
In 0.715 -2.423 -0.315
Tc 0.000 0.000 0.000
Si 2.766 -2.201 2.635
```

Properties
Its crystal system is cubic. The calculation puts the volume at 132.0 Å³ per cell. The calculation puts the formation energy (no corrections) at 0.840 eV per atom. As for the total energy: -28.207 eV/atom. The space group is Pm-3m (221).